# 1
Here is an optimized crystal structure of SrTa2BeOs from Alexandria via LeMat-Bulk. Energies are from GGA-PBE.

Computed properties:
**DOS at the Fermi energy**: 9.10 states/eV/f.u.
**Symmetry**: P4/mmm

Lattice parameters (Å, degrees): 4.8182 4.8182 4.2088 90.00 90.00 90.00
Sites, in units of the cell vectors:
Sr: 0.0000 0.0000 0.0000
Ta: 0.0000 0.5000 0.0000
Ta: 0.5000 0.0000 0.0000
Be: 0.0000 0.0000 0.5000
Os: 0.5000 0.5000 0.5000


# 2
Here is an optimized crystal structure of Sr2ZrBeOs from Alexandria via LeMat-Bulk. Energies are from GGA-PBE.

Computed properties:
**DOS at the Fermi energy**: 5.07 states/eV/f.u.
**Symmetry**: P4/mmm

Lattice parameters (Å, degrees): 5.9007 5.9007 4.9436 90.00 90.00 90.00
Sites, in units of the cell vectors:
Sr: 0.0000 0.5000 0.0000
Sr: 0.5000 0.0000 0.0000
Zr: 0.0000 0.0000 0.5000
Be: 0.5000 0.5000 0.5000
Os: 0.0000 0.0000 0.0000


# 3
Here is an optimized crystal structure of TaBe2Os2 from Alexandria via LeMat-Bulk. Energies are from GGA-PBE.

Computed properties:
**DOS at the Fermi energy**: 2.83 states/eV/f.u.
**Symmetry**: P4/mbm
**Energy above the lowest structure with this stoichiometry**: 8.16 kcal/mol of atoms

Lattice parameters (Å, degrees): 6.7980 6.7980 2.8291 90.00 90.00 90.00
Sites, in units of the cell vectors:
Ta: 0.0000 0.0000 0.0000
Ta: 0.5000 0.5000 0.0000
Be: 0.1528 0.3472 0.5000
Be: 0.3472 0.8472 0.5000
Be: 0.6528 0.1528 0.5000
Be: 0.8472 0.6528 0.5000
Os: 0.1407 0.6407 0.0000
Os: 0.3593 0.1407 0.0000
Os: 0.6407 0.8593 0.0000
Os: 0.8593 0.3593 0.0000


Number 1: energy relative to the elements 3.14 eV per atom. Number 2: energy relative to the elements 0.85 eV per atom. Number 3: energy relative to the elements 0.04 eV per atom.